Here is a relaxed structure of DyTlIn from the Alexandria database. Energies are from PBE-GGA.

Cell: 3.595 3.595 6.762 Å, 105.42 105.42 90.00°
Fractional positions:
1 Tl 0.330 0.330 0.659
2 In 0.667 0.667 0.334
3 Dy 0.003 0.003 0.006

Summary:
M_tot, μB/atom: 0.000
Relative energy among the computed polymorphs, meV/atom: 87.8
Formation energy, eV/f.u.: -0.58



Here is a relaxed structure of Sr3Li4Ge4 from the Alexandria database. Energies are from PBE-GGA.

Cell: 4.623 7.181 8.876 Å, 113.86 105.10 90.00°
Fractional positions:
1 Sr 0.000 0.500 0.000
2 Li 0.673 0.863 0.345
3 Ge 0.500 0.831 0.000
4 Li 0.327 0.137 0.655
5 Li 0.673 0.483 0.345
6 Ge 0.500 0.169 0.000
7 Li 0.327 0.517 0.655
8 Ge 0.791 0.291 0.582
9 Ge 0.209 0.709 0.418
10 Sr 0.135 0.135 0.271
11 Sr 0.865 0.865 0.729

Summary:
M_tot, μB/atom: 0.000
Formation energy, eV/f.u.: -4.77



Here is a relaxed structure of NaAcPuSb from the Alexandria database. Energies are from PBE-GGA.

Cell: 5.630 5.630 5.630 Å, 60.00 60.00 60.00°
Last column: magnetic moment on the atom in μB.
Fractional positions:
1 Sb 0.750 0.750 0.750  -0.04
2 Na 0.250 0.250 0.250  0.01
3 Pu 0.500 0.500 0.500  5.80
4 Ac 0.000 0.000 0.000  0.23

Summary:
M_tot, μB/atom: 1.780
Formation energy from raw total energies, eV/atom: -0.159



Here is a relaxed structure of Ce5Th3P8 from the Alexandria database. Energies are from PBE-GGA.

Cell: 8.231 8.231 8.224 Å, 59.97 59.97 60.00°
Last column: magnetic moment on the atom in μB.
Fractional positions:
1 P 0.250 0.748 0.752  -0.01
2 P 0.251 0.251 0.246  -0.01
3 Ce 0.500 0.500 0.000  0.34
4 P 0.749 0.749 0.754  -0.01
5 P 0.750 0.750 0.248  -0.01
6 Th 0.000 0.500 0.500  0.02
7 Ce 0.000 0.000 0.000  0.49
8 Ce 0.500 0.500 0.500  0.49
9 P 0.750 0.252 0.248  -0.01
10 P 0.748 0.250 0.752  -0.01
11 Ce 0.500 0.000 0.000  0.34
12 Th 0.000 0.000 0.500  0.02
13 Ce 0.000 0.500 0.000  0.34
14 P 0.250 0.250 0.752  -0.01
15 Th 0.500 0.000 0.500  0.02
16 P 0.252 0.750 0.248  -0.01

Summary:
M_tot, μB/atom: 0.152
Formation energy, eV/f.u.: -24.52



Here is a relaxed structure of MgOs2I from the Alexandria database. Energies are from PBE-GGA.

Cell: 6.292 6.292 6.703 Å, 62.01 62.01 90.00°
Fractional positions:
1 Os 0.643 0.125 0.250
2 Os 0.375 0.357 0.750
3 Mg 0.500 0.500 0.000
4 Os 0.107 0.625 0.250
5 Os 0.875 0.893 0.750
6 I 0.750 0.250 0.500
7 Mg 0.250 0.750 0.500
8 I 0.000 0.000 0.000

Summary:
M_tot, μB/atom: 0.000
Relative energy among the computed polymorphs, meV/atom: 851.7
Formation energy from raw total energies, eV/atom: 1.899



Here is a relaxed structure of HoMgSi2Pd5 from the Alexandria database. Energies are from PBE-GGA.

Cell: 4.130 4.130 8.891 Å, 90.00 90.00 90.00°
Fractional positions:
1 Ho 0.000 0.000 0.500
2 Mg 0.000 0.000 0.000
3 Si 0.500 0.500 0.128
4 Pd 0.000 0.500 0.738
5 Pd 0.500 0.500 0.500
6 Pd 0.500 0.000 0.262
7 Pd 0.000 0.500 0.262
8 Si 0.500 0.500 0.872
9 Pd 0.500 0.000 0.738

Summary:
M_tot, μB/atom: 0.000
Formation energy from raw total energies, eV/atom: -0.769



Here is a relaxed structure of BaZnSe3 from the Alexandria database. Energies are from PBE-GGA.

Cell: 6.390 6.390 6.390 Å, 90.00 90.00 90.00°
Last column: magnetic moment on the atom in μB.
Fractional positions:
1 Se 0.000 0.500 0.000  0.74
2 Ba 0.000 0.000 0.000  -0.01
3 Zn 0.500 0.500 0.500  0.14
4 Se 0.500 0.000 0.000  0.60
5 Se 0.000 0.000 0.500  0.84

Summary:
M_tot, μB/atom: 0.800
Relative energy among the computed polymorphs, meV/atom: 1082.9
Formation energy from raw total energies, eV/atom: 0.305



Here is a relaxed structure of MnIrPb2 from the Alexandria database. Energies are from PBE-GGA.

Cell: 9.203 9.203 6.989 Å, 48.82 48.82 90.00°
Last column: magnetic moment on the atom in μB.
Fractional positions:
1 Ir 0.000 0.000 0.000  -0.17
2 Pb 0.734 0.125 0.250  0.03
3 Pb 0.375 0.266 0.750  0.02
4 Ir 0.750 0.250 0.500  -0.17
5 Pb 0.016 0.625 0.250  0.03
6 Mn 0.500 0.500 0.000  -4.19
7 Mn 0.250 0.750 0.500  -4.19
8 Pb 0.875 0.984 0.750  0.03

Summary:
M_tot, μB/atom: 1.156
Relative energy among the computed polymorphs, meV/atom: 321.8
Formation energy, eV/f.u.: 1.97